Entry from the Alexandria database: a relaxed Cd3W crystal (PBE).

Cell lengths 2.887, 2.887, 9.434 Å; angles 90.00, 90.00, 90.00 degrees
Sites, in units of the cell vectors:
Cd: 0.000 0.000 0.000
Cd: 0.500 0.500 0.265
Cd: 0.500 0.500 0.735
W: 0.000 0.000 0.500

DFT formation energy in kJ/mol of formula units: 164
Crystal system: tetragonal
Space group: P4/mmm (123)